Record 1
# K2InBi3 (GGA-PBE, relaxed)
# * energy of formation: -80 kJ/mol of formula units
# * mass density: 5.52 Mg/m³
# * size of the total moment: 0.00 μB/atom
# * uncorrected energy: -0.2132 Ry/atom
# * DOS(E_F): 0.715 states/eV per atom
data_K2InBi3
_chemical_formula_sum 'K4 In2 Bi6'
_symmetry_space_group_name_H-M 'P -3 m 1'
_symmetry_Int_Tables_number 164
_symmetry_space_group_name_Hall '-P 3 2"'
_cell_length_a 6.7650
_cell_length_b 6.7650
_cell_length_c 12.4508
_cell_angle_alpha 90.00
_cell_angle_beta 90.00
_cell_angle_gamma 120.00
loop_
_atom_site_label
_atom_site_fract_x
_atom_site_fract_y
_atom_site_fract_z
K1 0.0000 0.0000 0.0000
K2 0.0000 0.0000 0.5000
K3 0.3333 0.6667 0.0983
In1 0.3333 0.6667 0.5556
Bi1 0.1562 0.3123 0.7581

---

Record 2
# KInBi3 (GGA-PBE, relaxed)
# * energy of formation: -59 kJ/mol of formula units
# * mass density: 7.13 Mg/m³
# * size of the total moment: 0.00 μB/atom
# * uncorrected energy: -0.2366 Ry/atom
# * DOS(E_F): 0.542 states/eV per atom
data_KInBi3
_chemical_formula_sum 'K2 In2 Bi6'
_symmetry_space_group_name_H-M 'P m n 21'
_symmetry_Int_Tables_number 31
_cell_length_a 7.114
_cell_length_b 7.258
_cell_length_c 7.048
_cell_angle_alpha 90.00
_cell_angle_beta 90.00
_cell_angle_gamma 90.00
loop_
_symmetry_equiv_pos_as_xyz
'x,y,z'
'-x+1/2,-y,z+1/2'
'-x,y,z'
'x+1/2,-y,z+1/2'
loop_
_atom_site_label
_atom_site_fract_x
_atom_site_fract_y
_atom_site_fract_z
K1 0.000 0.241 0.000
In1 0.000 0.615 0.663
Bi1 0.000 0.915 0.359
Bi2 0.250 0.279 0.523

---

Record 3
# KInBi2 (GGA-PBE, relaxed)
# * energy of formation: -60 kJ/mol of formula units
# * mass density: 6.28 Mg/m³
# * size of the total moment: 0.00 μB/atom
# * uncorrected energy: -0.2246 Ry/atom
# * DOS(E_F): 0.450 states/eV per atom
data_KInBi2
_chemical_formula_sum 'K2 In2 Bi4'
_symmetry_space_group_name_H-M 'P 4/n m m'
_symmetry_Int_Tables_number 129
_cell_length_a 4.811
_cell_length_b 4.811
_cell_length_c 13.054
_cell_angle_alpha 90.00
_cell_angle_beta 90.00
_cell_angle_gamma 90.00
loop_
_symmetry_equiv_pos_as_xyz
'x,y,z'
'-x,-y,-z'
'-y+1/2,x,z'
'y+1/2,-x,-z'
'-x+1/2,-y+1/2,z'
'x+1/2,y+1/2,-z'
'y,-x+1/2,z'
'-y,x+1/2,-z'
'x+1/2,-y,-z'
'-x+1/2,y,z'
'-y,-x,-z'
'y,x,z'
'-x,y+1/2,-z'
'x,-y+1/2,z'
'y+1/2,x+1/2,-z'
'-y+1/2,-x+1/2,z'
loop_
_atom_site_label
_atom_site_fract_x
_atom_site_fract_y
_atom_site_fract_z
K1 0.250 0.250 0.222
In1 0.250 0.750 0.500
Bi1 0.250 0.250 0.647
Bi2 0.250 0.750 0.000

---

Record 4
# K3In4Bi4 (GGA-PBE, relaxed)
# * energy of formation: -254 kJ/mol of formula units
# * mass density: 5.92 Mg/m³
# * size of the total moment: 0.00 μB/atom
# * uncorrected energy: -0.2165 Ry/atom
# * DOS(E_F): 0.324 states/eV per atom
data_K3In4Bi4
_chemical_formula_sum 'K6 In8 Bi8'
_symmetry_space_group_name_H-M 'I m m m'
_symmetry_Int_Tables_number 71
_symmetry_space_group_name_Hall '-I 2 2'
_cell_length_a 5.629
_cell_length_b 8.257
_cell_length_c 17.043
_cell_angle_alpha 90.00
_cell_angle_beta 90.00
_cell_angle_gamma 90.00
loop_
_atom_site_label
_atom_site_fract_x
_atom_site_fract_y
_atom_site_fract_z
K1 0.000 0.000 0.000
K2 0.000 0.500 0.118
In1 0.000 0.305 0.326
Bi1 0.000 0.000 0.216
Bi2 0.000 0.188 0.500

---

Record 5
# KInBi2 (GGA-PBE, relaxed)
# * energy of formation: -52 kJ/mol of formula units
# * mass density: 6.66 Mg/m³
# * size of the total moment: 0.00 μB/atom
# * uncorrected energy: -0.2230 Ry/atom
# * DOS(E_F): 0.000 states/eV per atom
data_KInBi2
_chemical_formula_sum 'K4 In4 Bi8'
_symmetry_space_group_name_H-M 'I -4 2 d'
_symmetry_Int_Tables_number 122
_symmetry_space_group_name_Hall 'I -4 2bw'
_cell_length_a 9.076
_cell_length_b 9.076
_cell_length_c 6.927
_cell_angle_alpha 90.00
_cell_angle_beta 90.00
_cell_angle_gamma 90.00
loop_
_atom_site_label
_atom_site_fract_x
_atom_site_fract_y
_atom_site_fract_z
K1 0.000 0.000 0.000
In1 0.000 0.000 0.500
Bi1 0.198 0.250 0.625

---

Record 6
# KIn2Bi (GGA-PBE, relaxed)
# * energy of formation: 30 kJ/mol of formula units
# * mass density: 4.11 Mg/m³
# * size of the total moment: 0.00 μB/atom
# * uncorrected energy: -0.1863 Ry/atom
# * DOS(E_F): 0.183 states/eV per atom
data_KIn2Bi
_chemical_formula_sum 'K3 In6 Bi3'
_symmetry_space_group_name_H-M 'R -3 m'
_symmetry_Int_Tables_number 166
_symmetry_space_group_name_Hall '-R 3 2"'
_cell_length_a 4.6756
_cell_length_b 4.6756
_cell_length_c 30.5763
_cell_angle_alpha 90.00
_cell_angle_beta 90.00
_cell_angle_gamma 120.00
loop_
_atom_site_label
_atom_site_fract_x
_atom_site_fract_y
_atom_site_fract_z
K1 0.0000 0.0000 0.0000
In1 0.0000 0.0000 0.1152
Bi1 0.0000 0.0000 0.5000

---

Record 7
# K3In2Bi3 (GGA-PBE, relaxed)
# * energy of formation: -238 kJ/mol of formula units
# * mass density: 5.36 Mg/m³
# * size of the total moment: 0.00 μB/atom
# * uncorrected energy: -0.2102 Ry/atom
# * DOS(E_F): 0.364 states/eV per atom
data_K3In2Bi3
_chemical_formula_sum 'K12 In8 Bi12'
_symmetry_space_group_name_H-M 'C m c m'
_symmetry_Int_Tables_number 63
_symmetry_space_group_name_Hall '-C 2c 2'
_cell_length_a 5.092
_cell_length_b 13.988
_cell_length_c 16.945
_cell_angle_alpha 90.00
_cell_angle_beta 90.00
_cell_angle_gamma 90.00
loop_
_atom_site_label
_atom_site_fract_x
_atom_site_fract_y
_atom_site_fract_z
K1 0.000 0.067 0.113
K2 0.000 0.339 0.250
In1 0.000 0.237 0.594
Bi1 0.000 0.350 0.750
Bi2 0.000 0.376 0.046

---

Record 8
# KInBi2 (GGA-PBE, relaxed)
# * energy of formation: -19 kJ/mol of formula units
# * mass density: 6.70 Mg/m³
# * size of the total moment: 0.00 μB/atom
# * uncorrected energy: -0.2168 Ry/atom
# * DOS(E_F): 0.449 states/eV per atom
data_KInBi2
_chemical_formula_sum 'K3 In3 Bi6'
_symmetry_space_group_name_H-M 'R -3 m'
_symmetry_Int_Tables_number 166
_symmetry_space_group_name_Hall '-R 3 2"'
_cell_length_a 4.0828
_cell_length_b 4.0828
_cell_length_c 29.4658
_cell_angle_alpha 90.00
_cell_angle_beta 90.00
_cell_angle_gamma 120.00
loop_
_atom_site_label
_atom_site_fract_x
_atom_site_fract_y
_atom_site_fract_z
K1 0.0000 0.0000 0.0000
In1 0.0000 0.0000 0.5000
Bi1 0.0000 0.0000 0.2351

---

Record 9
# KIn2Bi (GGA-PBE, relaxed)
# * energy of formation: -21 kJ/mol of formula units
# * mass density: 5.42 Mg/m³
# * size of the total moment: 0.00 μB/atom
# * uncorrected energy: -0.1961 Ry/atom
# * DOS(E_F): 0.184 states/eV per atom
data_KIn2Bi
_chemical_formula_sum 'K4 In8 Bi4'
_symmetry_space_group_name_H-M 'I -4 2 d'
_symmetry_Int_Tables_number 122
_symmetry_space_group_name_Hall 'I -4 2bw'
_cell_length_a 9.333
_cell_length_b 9.333
_cell_length_c 6.723
_cell_angle_alpha 90.00
_cell_angle_beta 90.00
_cell_angle_gamma 90.00
loop_
_atom_site_label
_atom_site_fract_x
_atom_site_fract_y
_atom_site_fract_z
K1 0.000 0.000 0.000
In1 0.198 0.750 0.625
Bi1 0.000 0.000 0.500

---

Record 10
# KIn2Bi (GGA-PBE, relaxed)
# * energy of formation: -36 kJ/mol of formula units
# * mass density: 5.20 Mg/m³
# * size of the total moment: 0.00 μB/atom
# * uncorrected energy: -0.1989 Ry/atom
# * DOS(E_F): 0.414 states/eV per atom
data_KIn2Bi
_chemical_formula_sum 'K3 In6 Bi3'
_symmetry_space_group_name_H-M 'R 3 m'
_symmetry_Int_Tables_number 160
_symmetry_space_group_name_Hall 'R 3 -2"'
_cell_length_a 5.4192
_cell_length_b 5.4192
_cell_length_c 17.9792
_cell_angle_alpha 90.00
_cell_angle_beta 90.00
_cell_angle_gamma 120.00
loop_
_atom_site_label
_atom_site_fract_x
_atom_site_fract_y
_atom_site_fract_z
K1 0.0000 0.0000 0.0000
In1 0.0000 0.0000 0.5456
In2 0.0000 0.0000 0.7840
Bi1 0.0000 0.0000 0.2020

---

Record 11
# K2In2Bi (GGA-PBE, relaxed)
# * energy of formation: 46 kJ/mol of formula units
# * mass density: 4.72 Mg/m³
# * size of the total moment: 0.00 μB/atom
# * uncorrected energy: -0.1628 Ry/atom
# * DOS(E_F): 0.584 states/eV per atom
data_K2In2Bi
_chemical_formula_sum 'K4 In4 Bi2'
_symmetry_space_group_name_H-M 'I 4/m m m'
_symmetry_Int_Tables_number 139
_symmetry_space_group_name_Hall '-I 4 2'
_cell_length_a 4.799
_cell_length_b 4.799
_cell_length_c 15.795
_cell_angle_alpha 90.00
_cell_angle_beta 90.00
_cell_angle_gamma 90.00
loop_
_atom_site_label
_atom_site_fract_x
_atom_site_fract_y
_atom_site_fract_z
K1 0.000 0.500 0.250
In1 0.000 0.000 0.088
Bi1 0.000 0.000 0.500

---

Record 12
# KIn6Bi4 (GGA-PBE, relaxed)
# * energy of formation: -33 kJ/mol of formula units
# * mass density: 7.02 Mg/m³
# * size of the total moment: 0.00 μB/atom
# * uncorrected energy: -0.2231 Ry/atom
# * DOS(E_F): 0.479 states/eV per atom
data_KIn6Bi4
_chemical_formula_sum 'K1 In6 Bi4'
_symmetry_space_group_name_H-M 'P -6 m 2'
_symmetry_Int_Tables_number 187
_symmetry_space_group_name_Hall 'P -6 2'
_cell_length_a 9.1262
_cell_length_b 9.1262
_cell_length_c 5.1290
_cell_angle_alpha 90.00
_cell_angle_beta 90.00
_cell_angle_gamma 120.00
loop_
_atom_site_label
_atom_site_fract_x
_atom_site_fract_y
_atom_site_fract_z
K1 0.0000 0.0000 0.0000
In1 0.0737 0.5369 0.0000
In2 0.4031 0.2016 0.5000
Bi1 0.1988 0.3977 0.5000
Bi2 0.6667 0.3333 0.0000

---

Record 13
# KInBi (GGA-PBE, relaxed)
# * energy of formation: -49 kJ/mol of formula units
# * mass density: 5.04 Mg/m³
# * size of the total moment: 0.00 μB/atom
# * uncorrected energy: -0.2016 Ry/atom
# * DOS(E_F): 0.704 states/eV per atom
data_KInBi
_chemical_formula_sum 'K1 In1 Bi1'
_symmetry_space_group_name_H-M 'P 3 m 1'
_symmetry_Int_Tables_number 156
_cell_length_a 5.1123
_cell_length_b 5.1123
_cell_length_c 5.2828
_cell_angle_alpha 90.00
_cell_angle_beta 90.00
_cell_angle_gamma 120.00
loop_
_symmetry_equiv_pos_as_xyz
'x,y,z'
'-y,x-y,z'
'-x+y,-x,z'
'-y,-x,z'
'-x+y,y,z'
'x,x-y,z'
loop_
_atom_site_label
_atom_site_fract_x
_atom_site_fract_y
_atom_site_fract_z
K1 0.0000 0.0000 0.0000
In1 0.3333 0.6667 0.4217
Bi1 0.6667 0.3333 0.5527

---

Record 14
# KInBi3 (GGA-PBE, relaxed)
# * energy of formation: 446 kJ/mol of formula units
# * mass density: 5.98 Mg/m³
# * size of the total moment: 0.00 μB/atom
# * uncorrected energy: -0.1596 Ry/atom
# * DOS(E_F): 1.443 states/eV per atom
data_KInBi3
_chemical_formula_sum 'K1 In1 Bi3'
_symmetry_space_group_name_H-M 'P m -3 m'
_symmetry_Int_Tables_number 221
_symmetry_space_group_name_Hall '-P 4 2 3'
_cell_length_a 6.008
_cell_length_b 6.008
_cell_length_c 6.008
_cell_angle_alpha 90.00
_cell_angle_beta 90.00
_cell_angle_gamma 90.00
loop_
_atom_site_label
_atom_site_fract_x
_atom_site_fract_y
_atom_site_fract_z
K1 0.000 0.000 0.000
In1 0.500 0.500 0.500
Bi1 0.000 0.000 0.500

---

Record 15
# KInBi3 (GGA-PBE, relaxed)
# * energy of formation: 125 kJ/mol of formula units
# * mass density: 6.31 Mg/m³
# * size of the total moment: 0.00 μB/atom
# * uncorrected energy: -0.2086 Ry/atom
# * DOS(E_F): 1.493 states/eV per atom
data_KInBi3
_chemical_formula_sum 'K1 In1 Bi3'
_symmetry_space_group_name_H-M 'P m -3 m'
_symmetry_Int_Tables_number 221
_symmetry_space_group_name_Hall '-P 4 2 3'
_cell_length_a 5.900
_cell_length_b 5.900
_cell_length_c 5.900
_cell_angle_alpha 90.00
_cell_angle_beta 90.00
_cell_angle_gamma 90.00
loop_
_atom_site_label
_atom_site_fract_x
_atom_site_fract_y
_atom_site_fract_z
K1 0.000 0.000 0.000
In1 0.500 0.500 0.500
Bi1 0.000 0.500 0.500

---

Record 16
# K4InBi4 (GGA-PBE, relaxed)
# * energy of formation: -137 kJ/mol of formula units
# * mass density: 4.94 Mg/m³
# * size of the total moment: 0.00 μB/atom
# * uncorrected energy: -0.1966 Ry/atom
# * DOS(E_F): 0.607 states/eV per atom
data_K4InBi4
_chemical_formula_sum 'K8 In2 Bi8'
_symmetry_space_group_name_H-M 'I -4 2 m'
_symmetry_Int_Tables_number 121
_symmetry_space_group_name_Hall 'I -4 2'
_cell_length_a 7.018
_cell_length_b 7.018
_cell_length_c 15.098
_cell_angle_alpha 90.00
_cell_angle_beta 90.00
_cell_angle_gamma 90.00
loop_
_atom_site_label
_atom_site_fract_x
_atom_site_fract_y
_atom_site_fract_z
K1 0.234 0.234 0.177
In1 0.000 0.000 0.000
Bi1 0.198 0.198 0.442

---

Record 17
# KLaInBiO6 (GGA-PBE, relaxed)
# * mass density: 6.63 Mg/m³
# * size of the total moment: 0.00 μB/atom
# * uncorrected energy: -0.4328 Ry/atom
# * DOS(E_F): 0.304 states/eV per atom
# * E_form (uncorrected): -1.65 eV/atom
data_KLaInBiO6
_chemical_formula_sum 'K4 La4 In4 Bi4 O24'
_symmetry_space_group_name_H-M 'F -4 3 m'
_symmetry_Int_Tables_number 216
_symmetry_space_group_name_Hall 'F -4 2 3'
_cell_length_a 8.428
_cell_length_b 8.428
_cell_length_c 8.428
_cell_angle_alpha 90.00
_cell_angle_beta 90.00
_cell_angle_gamma 90.00
loop_
_atom_site_label
_atom_site_fract_x
_atom_site_fract_y
_atom_site_fract_z
K1 0.000 0.000 0.000
La1 0.000 0.000 0.500
In1 0.250 0.250 0.250
Bi1 0.250 0.250 0.750
O1 0.001 0.250 0.750

---

Record 18
# K2LiInBi2 (GGA-PBE, relaxed)
# * energy of formation: -240 kJ/mol of formula units
# * mass density: 4.92 Mg/m³
# * size of the total moment: 0.00 μB/atom
# * uncorrected energy: -0.2094 Ry/atom
# * DOS(E_F): 0.063 states/eV per atom
data_K2LiInBi2
_chemical_formula_sum 'K8 Li4 In4 Bi8'
_symmetry_space_group_name_H-M 'I b a m'
_symmetry_Int_Tables_number 72
_symmetry_space_group_name_Hall '-I 2 2c'
_cell_length_a 6.948
_cell_length_b 16.767
_cell_length_c 7.157
_cell_angle_alpha 90.00
_cell_angle_beta 90.00
_cell_angle_gamma 90.00
loop_
_atom_site_label
_atom_site_fract_x
_atom_site_fract_y
_atom_site_fract_z
K1 0.249 0.170 0.000
Li1 0.000 0.000 0.250
In1 0.000 0.500 0.250
Bi1 0.248 0.396 0.000

---

Record 19
# KLiInBi (GGA-PBE, relaxed)
# * energy of formation: -73 kJ/mol of formula units
# * mass density: 5.03 Mg/m³
# * size of the total moment: 0.00 μB/atom
# * uncorrected energy: -0.1909 Ry/atom
# * DOS(E_F): 0.456 states/eV per atom
data_KLiInBi
_chemical_formula_sum 'K4 Li4 In4 Bi4'
_symmetry_space_group_name_H-M 'F -4 3 m'
_symmetry_Int_Tables_number 216
_symmetry_space_group_name_Hall 'F -4 2 3'
_cell_length_a 7.873
_cell_length_b 7.873
_cell_length_c 7.873
_cell_angle_alpha 90.00
_cell_angle_beta 90.00
_cell_angle_gamma 90.00
loop_
_atom_site_label
_atom_site_fract_x
_atom_site_fract_y
_atom_site_fract_z
K1 0.000 0.000 0.000
Li1 0.250 0.250 0.750
In1 0.250 0.250 0.250
Bi1 0.000 0.000 0.500

---

Record 20
# KMgIn2Bi (GGA-PBE, relaxed)
# * energy of formation: 136 kJ/mol of formula units
# * mass density: 3.90 Mg/m³
# * size of the total moment: 0.00 μB/atom
# * uncorrected energy: -0.1565 Ry/atom
# * DOS(E_F): 0.598 states/eV per atom
data_KMgIn2Bi
_chemical_formula_sum 'K1 Mg1 In2 Bi1'
_symmetry_space_group_name_H-M 'P 4/m m m'
_symmetry_Int_Tables_number 123
_symmetry_space_group_name_Hall '-P 4 2'
_cell_length_a 6.078
_cell_length_b 6.078
_cell_length_c 5.791
_cell_angle_alpha 90.00
_cell_angle_beta 90.00
_cell_angle_gamma 90.00
loop_
_atom_site_label
_atom_site_fract_x
_atom_site_fract_y
_atom_site_fract_z
K1 0.000 0.000 0.000
Mg1 0.500 0.500 0.000
In1 0.000 0.500 0.500
Bi1 0.500 0.500 0.500